Arrangement i

The following is a DFT calculation (GGA-PBE) of a relaxed TlHgH3 crystal.

Output
Total magnetization, μB per cell: 0.00

a b c (Å): 4.1174 4.1174 4.1174
angles (deg): 90.00 90.00 90.00
Element x y z (fractional)
Tl 0.0000 0.0000 0.0000
Hg 0.5000 0.5000 0.5000
H 0.0000 0.5000 0.5000
H 0.5000 0.0000 0.5000
H 0.5000 0.5000 0.0000

---

Arrangement ii

The following is a DFT calculation (GGA-PBE) of a relaxed TlHgH3 crystal.

Output
Total magnetization, μB per cell: 0.00

a b c (Å): 6.2895 6.2895 6.2895
angles (deg): 57.54 57.54 57.54
Element x y z (fractional)
Tl 0.0000 0.0000 0.0000
Tl 0.5000 0.5000 0.5000
Hg 0.2264 0.2264 0.2264
Hg 0.7264 0.7264 0.7264
H 0.0530 0.5630 0.0566
H 0.0566 0.0530 0.5630
H 0.0630 0.5530 0.5566
H 0.5530 0.5566 0.0630
H 0.5566 0.0630 0.5530
H 0.5630 0.0566 0.0530

---

Arrangement iii

The following is a DFT calculation (GGA-PBE) of a relaxed TlHgH3 crystal.

Output
Total magnetization, μB per cell: 0.00

a b c (Å): 4.1577 4.1577 4.1577
angles (deg): 90.00 90.00 90.00
Element x y z (fractional)
Tl 0.0000 0.0000 0.0000
Hg 0.5000 0.5000 0.5000
H 0.0000 0.0000 0.5000
H 0.0000 0.5000 0.0000
H 0.5000 0.0000 0.0000

---

arrangement ii is preferred energetically. Next in line: 6.9 kJ/mol of atoms higher.

---

Arrangement i

The following is a DFT calculation (GGA-PBE) of a relaxed Zr2TlHgH crystal.

Output
Total magnetization, μB per cell: 0.00

a b c (Å): 5.3959 5.3959 5.5496
angles (deg): 90.00 90.00 90.00
Element x y z (fractional)
Zr 0.0000 0.5000 0.0000
Zr 0.5000 0.0000 0.0000
Tl 0.0000 0.0000 0.5000
Hg 0.0000 0.0000 0.0000
H 0.5000 0.5000 0.5000

---

Arrangement ii

The following is a DFT calculation (GGA-PBE) of a relaxed Zr2TlHgH crystal.

Output
Total magnetization, μB per cell: 0.00

a b c (Å): 4.3747 4.3747 4.7452
angles (deg): 90.00 90.00 90.00
Element x y z (fractional)
Zr 0.0000 0.5000 0.0000
Zr 0.5000 0.0000 0.0000
Tl 0.0000 0.0000 0.5000
Hg 0.5000 0.5000 0.5000
H 0.5000 0.5000 0.0000

---

arrangement ii is preferred energetically. Next in line: 160.3 kJ/mol of atoms higher.

---

Arrangement i

The following is a DFT calculation (GGA-PBE) of a relaxed TmHgH crystal.

Output
Total magnetization, μB per cell: 0.00

a b c (Å): 3.7117 3.7117 7.4594
angles (deg): 90.00 90.00 90.00
Element x y z (fractional)
Tm 0.2500 0.2500 0.1600
Tm 0.7500 0.7500 0.8400
Hg 0.2500 0.2500 0.6137
Hg 0.7500 0.7500 0.3863
H 0.2500 0.7500 0.0000
H 0.7500 0.2500 0.0000

---

Arrangement ii

The following is a DFT calculation (GGA-PBE) of a relaxed TmHgH crystal.

Output
Total magnetization, μB per cell: 0.00

a b c (Å): 3.7042 3.7042 4.6632
angles (deg): 90.00 90.00 120.00
Element x y z (fractional)
Tm 0.0000 0.0000 0.0000
Hg 0.6667 0.3333 0.5000
H 0.3333 0.6667 0.0000

---

arrangement i is preferred energetically. Next in line: 13.7 kJ/mol of atoms higher.

---

Arrangement i

The following is a DFT calculation (GGA-PBE) of a relaxed TmHgH crystal.

Output
Total magnetization, μB per cell: 0.33

a b c (Å): 5.9956 5.9956 5.9956
angles (deg): 149.46 149.46 43.74
Element x y z (fractional)
Tm 0.0000 0.0000 0.0000
Hg 0.2784 0.2784 0.0000
H 0.5379 0.5379 0.0000

---

Arrangement ii

The following is a DFT calculation (GGA-PBE) of a relaxed TmHgH crystal.

Output
Total magnetization, μB per cell: 0.00

a b c (Å): 6.8833 6.8833 6.8833
angles (deg): 97.82 97.82 97.82
Element x y z (fractional)
Tm 0.0953 0.6681 0.8375
Tm 0.1625 0.9047 0.3319
Tm 0.3319 0.1625 0.9047
Tm 0.6681 0.8375 0.0953
Tm 0.8375 0.0953 0.6681
Tm 0.9047 0.3319 0.1625
Hg 0.2095 0.3557 0.5406
Hg 0.3557 0.5406 0.2095
Hg 0.4594 0.7905 0.6443
Hg 0.5406 0.2095 0.3557
Hg 0.6443 0.4594 0.7905
Hg 0.7905 0.6443 0.4594
H 0.0479 0.2773 0.9061
H 0.0939 0.9521 0.7227
H 0.2773 0.9061 0.0479
H 0.7227 0.0939 0.9521
H 0.9061 0.0479 0.2773
H 0.9521 0.7227 0.0939

---

arrangement ii is preferred energetically. Next in line: 32.3 kJ/mol of atoms higher.

---

Arrangement i

The following is a DFT calculation (GGA-PBE) of a relaxed Tm2HgH crystal.

Output
Total magnetization, μB per cell: 0.00

a b c (Å): 7.7553 7.7553 7.7553
angles (deg): 26.60 26.60 26.60
Element x y z (fractional)
Tm 0.2262 0.2262 0.2262
Tm 0.7738 0.7738 0.7738
Hg 0.0000 0.0000 0.0000
H 0.5000 0.5000 0.5000

---

Arrangement ii

The following is a DFT calculation (GGA-PBE) of a relaxed Tm2HgH crystal.

Output
Total magnetization, μB per cell: 0.00

a b c (Å): 8.7792 5.5280 6.9400
angles (deg): 90.00 104.13 90.00
Element x y z (fractional)
Tm 0.0832 0.2464 0.0124
Tm 0.0832 0.2536 0.5124
Tm 0.2833 0.7099 0.8584
Tm 0.2833 0.7901 0.3584
Tm 0.7167 0.2099 0.6416
Tm 0.7167 0.2901 0.1416
Tm 0.9168 0.7464 0.4876
Tm 0.9168 0.7536 0.9876
Hg 0.4081 0.2056 0.7878
Hg 0.4081 0.2944 0.2878
Hg 0.5919 0.7056 0.7122
Hg 0.5919 0.7944 0.2122
H 0.0437 0.5328 0.7690
H 0.0437 0.9672 0.2690
H 0.9563 0.0328 0.7310
H 0.9563 0.4672 0.2310

---

arrangement ii is preferred energetically. Next in line: 1.7 kJ/mol of atoms higher.

---

Arrangement i

The following is a DFT calculation (GGA-PBE) of a relaxed VHgH2 crystal.

Output
Total magnetization, μB per cell: 3.71

a b c (Å): 5.7990 5.7990 5.7990
angles (deg): 135.92 135.92 64.10
Element x y z (fractional)
V 0.0000 0.0000 0.0000
V 0.7500 0.2500 0.5000
Hg 0.2500 0.7500 0.5000
Hg 0.5000 0.5000 0.0000
H 0.3750 0.2262 0.3512
H 0.7738 0.1250 0.1488
H 0.8750 0.0238 0.6488
H 0.9762 0.6250 0.8512

---

Arrangement ii

The following is a DFT calculation (GGA-PBE) of a relaxed VHgH2 crystal.

Output
Total magnetization, μB per cell: 2.90

a b c (Å): 3.9861 3.9861 3.9861
angles (deg): 60.00 60.00 60.00
Element x y z (fractional)
V 0.0000 0.0000 0.0000
Hg 0.5000 0.5000 0.5000
H 0.2500 0.2500 0.2500
H 0.7500 0.7500 0.7500

---

arrangement i is preferred energetically. Next in line: 35.7 kJ/mol of atoms higher.

---

Arrangement i

The following is a DFT calculation (GGA-PBE) of a relaxed V2Hg2H crystal.

Output
Total magnetization, μB per cell: 0.00

a b c (Å): 7.7296 7.7296 3.1416
angles (deg): 90.00 90.00 90.00
Element x y z (fractional)
V 0.0853 0.4147 0.0000
V 0.4147 0.9147 0.0000
V 0.5853 0.0853 0.0000
V 0.9147 0.5853 0.0000
Hg 0.2081 0.7081 0.5000
Hg 0.2919 0.2081 0.5000
Hg 0.7081 0.7919 0.5000
Hg 0.7919 0.2919 0.5000
H 0.0000 0.0000 0.5000
H 0.5000 0.5000 0.5000

---

Arrangement ii

The following is a DFT calculation (GGA-PBE) of a relaxed V2Hg2H crystal.

Output
Total magnetization, μB per cell: 0.00

a b c (Å): 7.9943 7.9943 7.9943
angles (deg): 156.10 156.10 34.05
Element x y z (fractional)
V 0.2500 0.7500 0.5000
V 0.7500 0.2500 0.5000
Hg 0.0916 0.0916 0.0000
Hg 0.9084 0.9084 0.0000
H 0.5000 0.5000 0.0000

---

arrangement ii is preferred energetically. Next in line: 10.7 kJ/mol of atoms higher.

---

Arrangement i

The following is a DFT calculation (GGA-PBE) of a relaxed VHgH3 crystal.

Output
Total magnetization, μB per cell: 3.76

a b c (Å): 3.8329 3.8329 3.8329
angles (deg): 90.00 90.00 90.00
Element x y z (fractional)
V 0.0000 0.0000 0.0000
Hg 0.5000 0.5000 0.5000
H 0.0000 0.5000 0.5000
H 0.5000 0.0000 0.5000
H 0.5000 0.5000 0.0000

---

Arrangement ii

The following is a DFT calculation (GGA-PBE) of a relaxed VHgH3 crystal.

Output
Total magnetization, μB per cell: 1.94

a b c (Å): 3.6354 3.6354 3.6354
angles (deg): 90.00 90.00 90.00
Element x y z (fractional)
V 0.0000 0.0000 0.0000
Hg 0.5000 0.5000 0.5000
H 0.0000 0.0000 0.5000
H 0.0000 0.5000 0.0000
H 0.5000 0.0000 0.0000

---

arrangement ii is preferred energetically. Next in line: 60.3 kJ/mol of atoms higher.

---

Arrangement i

The following is a DFT calculation (GGA-PBE) of a relaxed V3HgH crystal.

Output
Total magnetization, μB per cell: 9.11

a b c (Å): 5.1151 5.1151 5.1151
angles (deg): 90.00 90.00 90.00
Element x y z (fractional)
V 0.0000 0.0000 0.5000
V 0.0000 0.5000 0.0000
V 0.5000 0.0000 0.0000
Hg 0.0000 0.0000 0.0000
H 0.5000 0.5000 0.5000

---

Arrangement ii

The following is a DFT calculation (GGA-PBE) of a relaxed V3HgH crystal.

Output
Total magnetization, μB per cell: 0.52

a b c (Å): 3.9558 3.9558 3.9558
angles (deg): 90.00 90.00 90.00
Element x y z (fractional)
V 0.0000 0.0000 0.5000
V 0.0000 0.5000 0.0000
V 0.5000 0.0000 0.0000
Hg 0.5000 0.5000 0.5000
H 0.0000 0.0000 0.0000

---

arrangement ii is preferred energetically. Next in line: 195.8 kJ/mol of atoms higher.

---

Arrangement i

The following is a DFT calculation (GGA-PBE) of a relaxed HgHW2 crystal.

Output
Total magnetization, μB per cell: 0.00

a b c (Å): 5.8827 5.8827 5.8827
angles (deg): 127.04 127.04 78.19
Element x y z (fractional)
Hg 0.3750 0.6250 0.7500
Hg 0.6250 0.3750 0.2500
H 0.1250 0.8750 0.2500
H 0.8750 0.1250 0.7500
W 0.0000 0.0000 0.0000
W 0.0000 0.0000 0.5000
W 0.0000 0.5000 0.0000
W 0.5000 0.0000 0.5000

---

Arrangement ii

The following is a DFT calculation (GGA-PBE) of a relaxed HgHW2 crystal.

Output
Total magnetization, μB per cell: 0.00

a b c (Å): 4.4057 4.4057 4.4057
angles (deg): 60.00 60.00 60.00
Element x y z (fractional)
Hg 0.0000 0.0000 0.0000
H 0.5000 0.5000 0.5000
W 0.2500 0.2500 0.2500
W 0.7500 0.7500 0.7500

---

arrangement i is preferred energetically. Next in line: 56.9 kJ/mol of atoms higher.

---

Arrangement i

The following is a DFT calculation (GGA-PBE) of a relaxed Hg2HW crystal.

Output
Total magnetization, μB per cell: 0.00

a b c (Å): 5.5234 5.5234 5.5234
angles (deg): 106.55 106.55 115.49
Element x y z (fractional)
Hg 0.0474 0.6250 0.9224
Hg 0.3750 0.2974 0.4224
Hg 0.7026 0.1250 0.0776
Hg 0.8750 0.9526 0.5776
H 0.0000 0.0000 0.0000
H 0.7500 0.2500 0.5000
W 0.2500 0.7500 0.5000
W 0.5000 0.5000 0.0000

---

Arrangement ii

The following is a DFT calculation (GGA-PBE) of a relaxed Hg2HW crystal.

Output
Total magnetization, μB per cell: 2.76

a b c (Å): 4.6674 4.6674 4.6674
angles (deg): 60.00 60.00 60.00
Element x y z (fractional)
Hg 0.2500 0.2500 0.2500
Hg 0.7500 0.7500 0.7500
H 0.0000 0.0000 0.0000
W 0.5000 0.5000 0.5000

---

arrangement i is preferred energetically. Next in line: 32.6 kJ/mol of atoms higher.

---

Arrangement i

The following is a DFT calculation (GGA-PBE) of a relaxed Hg3HW crystal.

Output
Total magnetization, μB per cell: 4.39

a b c (Å): 5.5278 5.5278 5.5278
angles (deg): 90.00 90.00 90.00
Element x y z (fractional)
Hg 0.0000 0.0000 0.5000
Hg 0.0000 0.5000 0.0000
Hg 0.5000 0.0000 0.0000
H 0.5000 0.5000 0.5000
W 0.0000 0.0000 0.0000

---

Arrangement ii

The following is a DFT calculation (GGA-PBE) of a relaxed Hg3HW crystal.

Output
Total magnetization, μB per cell: 0.00

a b c (Å): 4.3715 4.3715 4.3715
angles (deg): 90.00 90.00 90.00
Element x y z (fractional)
Hg 0.0000 0.0000 0.5000
Hg 0.0000 0.5000 0.0000
Hg 0.5000 0.0000 0.0000
H 0.0000 0.0000 0.0000
W 0.5000 0.5000 0.5000

---

arrangement ii is preferred energetically. Next in line: 26.5 kJ/mol of atoms higher.